# SmInPd

A geometry-optimized SmInPd structure (GGA-PBE, Alexandria via LeMat-Bulk).

Cell: 4.7446 4.7446 3.6326 Å, 90.00 90.00 120.00°
Last column: nearest neighbours and their distance in Å.
Space group P-6m2 (No. 187)
One atom of each set of equivalent atoms:
Sm  0.0000  0.0000  0.0000 (multiplicity 1)  6 Pd 3.29, 6 In 3.29, 2 Sm 3.63
In  0.6667  0.3333  0.5000 (multiplicity 1)  3 Pd 2.74
Pd  0.3333  0.6667  0.5000 (multiplicity 1)  3 In 2.74

- E (eV/cell) = -14.68
- calculated formation energy (eV/atom) = -0.68